# Hg2PSe, optimized geometry, DFT GGA-PBE
# Energy relative to the elements, uncorrected (eV per formula unit): 2.39
# Magnetization (μB per cell): 0.00
# Density of states at the Fermi level (states/eV/atom): 0.83
data_Hg2PSe
_symmetry_space_group_name_H-M 'P 4/m m m'
_symmetry_Int_Tables_number 123
_symmetry_space_group_name_Hall '-P 4 2'
_cell_length_a 4.8917
_cell_length_b 4.8917
_cell_length_c 3.6397
_cell_angle_alpha 90.00
_cell_angle_beta 90.00
_cell_angle_gamma 90.00
loop_
_atom_site_label
_atom_site_fract_x
_atom_site_fract_y
_atom_site_fract_z
Hg1 0.0000 0.5000 0.0000
P1 0.0000 0.0000 0.5000
Se1 0.5000 0.5000 0.5000